1.
# TbCoGe3Os

A geometry-optimized TbCoGe3Os structure (GGA-PBE, the Alexandria database).

Calculated values
DFT formation energy: -0.122 eV/atom
Total DFT energy (no corrections): -150.192 eV for the cell shown

Lattice parameters (Å, degrees): 7.432 12.040 5.487 90.00 90.00 90.00
Space group Cmcm (No. 63)
One atom of each set of equivalent atoms:
Tb 0.000 0.192 0.250
Co 0.000 0.447 0.750
Ge 0.000 0.268 0.750
Ge 0.241 0.500 0.000
Os 0.000 0.075 0.750



2.
# Pm2Ga4Ge2Pd

A geometry-optimized Pm2Ga4Ge2Pd structure (GGA-PBE, the Alexandria database).

Calculated values
DFT formation energy: -0.584 eV/atom
Total DFT energy (no corrections): -82.579 eV for the cell shown

Lattice parameters (Å, degrees): 6.256 6.256 9.237 90.00 90.00 90.00
Space group I4/mmm (No. 139)
One atom of each set of equivalent atoms:
Pm 0.000 0.500 0.250
Ga 0.213 0.213 0.000
Ge 0.000 0.000 0.220
Pd 0.000 0.000 0.500



3.
# ScSi2OsC

A geometry-optimized ScSi2OsC structure (GGA-PBE, the Alexandria database).

Calculated values
Raw formation energy: 0.66 eV per atom
Total DFT energy (no corrections): -34.335 eV for the cell shown

Lattice parameters (Å, degrees): 4.817 4.817 3.824 90.00 90.00 90.00
Space group P4/mmm (No. 123)
One atom of each set of equivalent atoms:
Sc 0.000 0.000 0.000
Si 0.000 0.500 0.500
Os 0.500 0.500 0.500
C 0.500 0.500 0.000



4.
# Dy2Y2HoEr2

A geometry-optimized Dy2Y2HoEr2 structure (GGA-PBE, the Alexandria database).

Calculated values
DFT formation energy: 0.139 eV/atom
Total DFT energy (no corrections): -104.588 eV for the cell shown

Lattice parameters (Å, degrees): 5.6385 5.6385 24.3123 90.00 90.00 120.00
Space group R-3m (No. 166, hexagonal axes)
One atom of each set of equivalent atoms:
Dy 0.0000 0.0000 0.2142
Y 0.0000 0.0000 0.3583
Ho 0.0000 0.0000 0.5000
Er 0.0000 0.0000 0.0712



5.
# TbPr3Pb2

A geometry-optimized TbPr3Pb2 structure (GGA-PBE, the Alexandria database).

Calculated values
DFT formation energy: -0.441 eV/atom
Total DFT energy (no corrections): -29.029 eV for the cell shown

Lattice parameters (Å, degrees): 4.704 4.704 8.927 90.00 90.00 90.00
Space group P-4m2 (No. 115)
One atom of each set of equivalent atoms:
Tb 0.000 0.000 0.000
Pr 0.000 0.500 0.347
Pr 0.500 0.500 0.000
Pb 0.000 0.500 0.720



6.
# ThCr4

A geometry-optimized ThCr4 structure (GGA-PBE, the Alexandria database).

Calculated values
DFT formation energy: 2.077 eV/atom
Total DFT energy (no corrections): -35.527 eV for the cell shown

Lattice parameters (Å, degrees): 4.710 4.710 4.710 90.00 90.00 90.00
Space group Pm-3m (No. 221)
One atom of each set of equivalent atoms:
Th 0.000 0.000 0.000
Cr 0.000 0.000 0.500
Cr 0.500 0.500 0.500



7.
# YZn4Ag2

A geometry-optimized YZn4Ag2 structure (GGA-PBE, the Alexandria database).

Calculated values
DFT formation energy: -0.209 eV/atom
Total DFT energy (no corrections): -37.448 eV for the cell shown

Lattice parameters (Å, degrees): 8.621 6.827 5.355 90.00 128.15 90.00
Space group C2/m (No. 12)
One atom of each set of equivalent atoms:
Y 0.000 0.000 0.000
Zn 0.190 0.189 0.689
Ag 0.001 0.500 0.750



8.
# YNb2BS

A geometry-optimized YNb2BS structure (GGA-PBE, the Alexandria database).

Calculated values
Raw formation energy: 0.54 eV per atom
Total DFT energy (no corrections): -34.696 eV for the cell shown

Lattice parameters (Å, degrees): 4.693 4.693 4.171 90.00 90.00 90.00
Space group P4/mmm (No. 123)
One atom of each set of equivalent atoms:
Y 0.000 0.000 0.000
Nb 0.000 0.500 0.500
B 0.500 0.500 0.000
S 0.500 0.500 0.500



9.
# Ba2LaRu

A geometry-optimized Ba2LaRu structure (GGA-PBE, the Alexandria database).

Calculated values
DFT formation energy: 0.663 eV/atom
Total DFT energy (no corrections): -15.396 eV for the cell shown

Lattice parameters (Å, degrees): 3.906 5.069 6.545 90.00 90.00 90.00
Space group Pmmm (No. 47)
One atom of each set of equivalent atoms:
Ba 0.000 0.000 0.235
La 0.500 0.500 0.500
Ru 0.500 0.500 0.000



10.
# KLaSc2Ge

A geometry-optimized KLaSc2Ge structure (GGA-PBE, the Alexandria database).

Calculated values
DFT formation energy: 1.157 eV/atom
Total DFT energy (no corrections): -17.521 eV for the cell shown

Lattice parameters (Å, degrees): 5.332 5.332 5.826 90.00 90.00 90.00
Space group P4/mmm (No. 123)
One atom of each set of equivalent atoms:
K 0.000 0.000 0.000
La 0.000 0.000 0.500
Sc 0.000 0.500 0.500
Ge 0.500 0.500 0.000



11.
# LiPrGe2Os

A geometry-optimized LiPrGe2Os structure (GGA-PBE, the Alexandria database).

Calculated values
DFT formation energy: -0.421 eV/atom
Total DFT energy (no corrections): -58.522 eV for the cell shown

Lattice parameters (Å, degrees): 4.246 4.246 10.500 90.00 90.00 90.00
Space group I-4m2 (No. 119)
One atom of each set of equivalent atoms:
Li 0.000 0.000 0.000
Pr 0.000 0.500 0.250
Ge 0.000 0.500 0.621
Os 0.000 0.000 0.500



12.
# Be2NbV

A geometry-optimized Be2NbV structure (GGA-PBE, the Alexandria database).

Calculated values
DFT formation energy: 0.015 eV/atom
Total DFT energy (no corrections): -26.580 eV for the cell shown

Lattice parameters (Å, degrees): 3.041 3.041 5.262 90.00 90.00 90.00
Space group P4/mmm (No. 123)
One atom of each set of equivalent atoms:
Be 0.000 0.000 0.212
Nb 0.500 0.500 0.500
V 0.500 0.500 0.000



13.
# ReSb2TeAs

A geometry-optimized ReSb2TeAs structure (GGA-PBE, the Alexandria database).

Calculated values
Raw formation energy: 1.59 eV per atom
Total DFT energy (no corrections): -20.541 eV for the cell shown

Lattice parameters (Å, degrees): 5.250 5.250 5.364 90.00 90.00 90.00
Space group P4/mmm (No. 123)
One atom of each set of equivalent atoms:
Re 0.000 0.000 0.000
Sb 0.000 0.500 0.500
Te 0.500 0.500 0.000
As 0.500 0.500 0.500



14.
# CuHgTe2

A geometry-optimized CuHgTe2 structure (GGA-PBE, the Alexandria database).

Calculated values
Raw formation energy: 0.04 eV per atom
Total DFT energy (no corrections): -42.135 eV for the cell shown

Lattice parameters (Å, degrees): 5.847 5.847 12.066 90.00 90.00 90.00
Space group I4_1/amd (No. 141, origin choice 2)
One atom of each set of equivalent atoms:
Cu 0.000 0.250 0.375
Hg 0.000 0.250 0.875
Te 0.000 0.250 0.161



15.
# Pm2BRh2

A geometry-optimized Pm2BRh2 structure (GGA-PBE, the Alexandria database).

Calculated values
DFT formation energy: -0.571 eV/atom
Total DFT energy (no corrections): -134.953 eV for the cell shown

Lattice parameters (Å, degrees): 5.968 11.439 6.014 90.00 90.00 90.00
Space group Ibam (No. 72)
One atom of each set of equivalent atoms:
Pm 0.178 0.141 0.000
B 0.000 0.500 0.250
Rh 0.165 0.400 0.000



16.
# BaGeSe2

A geometry-optimized BaGeSe2 structure (GGA-PBE, the Alexandria database).

Calculated values
Raw formation energy: -0.66 eV per atom
Total DFT energy (no corrections): -48.433 eV for the cell shown

Lattice parameters (Å, degrees): 4.9616 4.9616 25.0163 90.00 90.00 120.00
Space group R-3m (No. 166, hexagonal axes)
One atom of each set of equivalent atoms:
Ba 0.0000 0.0000 0.0000
Ge 0.0000 0.0000 0.5000
Se 0.0000 0.0000 0.3997



17.
# YRuW2

A geometry-optimized YRuW2 structure (GGA-PBE, the Alexandria database).

Calculated values
DFT formation energy: 0.556 eV/atom
Total DFT energy (no corrections): -157.694 eV for the cell shown

Lattice parameters (Å, degrees): 6.503 6.503 6.503 90.00 90.00 90.00
Space group Fm-3m (No. 225)
One atom of each set of equivalent atoms:
Y 0.000 0.000 0.000
Ru 0.000 0.000 0.500
W 0.250 0.250 0.250



18.
# Zn5Cu5Ni2

A geometry-optimized Zn5Cu5Ni2 structure (GGA-PBE, the Alexandria database).

Calculated values
DFT formation energy: -0.103 eV/atom
Total DFT energy (no corrections): -79.292 eV for the cell shown

Lattice parameters (Å, degrees): 11.187 3.693 8.207 90.00 117.15 90.00
Space group C2/m (No. 12)
One atom of each set of equivalent atoms:
Zn 0.000 0.000 0.000
Zn 0.078 0.000 0.742
Zn 0.249 0.500 0.737
Cu 0.000 0.500 0.500
Cu 0.086 0.500 0.256
Cu 0.168 0.500 0.002
Ni 0.167 0.000 0.502



19.
# YErTmMg

A geometry-optimized YErTmMg structure (GGA-PBE, the Alexandria database).

Calculated values
DFT formation energy: 0.043 eV/atom
Total DFT energy (no corrections): -67.687 eV for the cell shown

Lattice parameters (Å, degrees): 7.732 7.732 7.732 90.00 90.00 90.00
Space group F-43m (No. 216)
One atom of each set of equivalent atoms:
Y 0.000 0.000 0.000
Er 0.000 0.000 0.500
Tm 0.250 0.250 0.750
Mg 0.250 0.250 0.250



20.
# SrReSb2Br

A geometry-optimized SrReSb2Br structure (GGA-PBE, the Alexandria database).

Calculated values
Raw formation energy: 1.00 eV per atom
Total DFT energy (no corrections): -19.023 eV for the cell shown

Lattice parameters (Å, degrees): 5.748 5.748 4.567 90.00 90.00 90.00
Space group P4/mmm (No. 123)
One atom of each set of equivalent atoms:
Sr 0.000 0.000 0.000
Re 0.500 0.500 0.000
Sb 0.000 0.500 0.500
Br 0.500 0.500 0.500



21.
# RbHg3B

A geometry-optimized RbHg3B structure (GGA-PBE, the Alexandria database).

Calculated values
DFT formation energy: 1.258 eV/atom
Total DFT energy (no corrections): -2.261 eV for the cell shown

Lattice parameters (Å, degrees): 7.005 7.005 7.005 90.00 90.00 90.00
Space group Pm-3m (No. 221)
One atom of each set of equivalent atoms:
Rb 0.000 0.000 0.000
Hg 0.000 0.000 0.500
B 0.500 0.500 0.500



22.
# Cu5NiI12

A geometry-optimized Cu5NiI12 structure (GGA-PBE, the Alexandria database).

Calculated values
Raw formation energy: -0.03 eV per atom
Total DFT energy (no corrections): -90.907 eV for the cell shown

Lattice parameters (Å, degrees): 6.651 12.281 14.488 90.00 90.95 90.00
Space group C2/m (No. 12)
One atom of each set of equivalent atoms:
Cu 0.000 0.000 0.000
Cu 0.000 0.166 0.500
Cu 0.000 0.334 0.000
Ni 0.000 0.500 0.500
I 0.180 0.342 0.606
I 0.182 0.167 0.889
I 0.182 0.500 0.890
I 0.196 0.000 0.611



23.
# TbPm2TmTl4

A geometry-optimized TbPm2TmTl4 structure (GGA-PBE, the Alexandria database).

Calculated values
DFT formation energy: -0.353 eV/atom
Total DFT energy (no corrections): -92.672 eV for the cell shown

Lattice parameters (Å, degrees): 5.4158 5.4158 26.6031 90.00 90.00 120.00
Space group R-3m (No. 166, hexagonal axes)
One atom of each set of equivalent atoms:
Tb 0.0000 0.0000 0.0000
Pm 0.0000 0.0000 0.2495
Tm 0.0000 0.0000 0.5000
Tl 0.0000 0.0000 0.1255
Tl 0.0000 0.0000 0.3755



24.
# TbNd2TlC

A geometry-optimized TbNd2TlC structure (GGA-PBE, the Alexandria database).

Calculated values
DFT formation energy: -0.323 eV/atom
Total DFT energy (no corrections): -27.373 eV for the cell shown

Lattice parameters (Å, degrees): 5.135 5.135 4.962 90.00 90.00 90.00
Space group P4/mmm (No. 123)
One atom of each set of equivalent atoms:
Tb 0.000 0.000 0.000
Nd 0.000 0.500 0.500
Tl 0.500 0.500 0.000
C 0.000 0.000 0.500



25.
# TaAsSe2F

A geometry-optimized TaAsSe2F structure (GGA-PBE, the Alexandria database).

Calculated values
Raw formation energy: -0.16 eV per atom
Total DFT energy (no corrections): -26.133 eV for the cell shown

Lattice parameters (Å, degrees): 4.920 4.920 5.065 90.00 90.00 90.00
Space group P4/mmm (No. 123)
One atom of each set of equivalent atoms:
Ta 0.000 0.000 0.000
As 0.000 0.000 0.500
Se 0.000 0.500 0.000
F 0.500 0.500 0.500



26.
# Pm2HoPaCo2

A geometry-optimized Pm2HoPaCo2 structure (GGA-PBE, the Alexandria database).

Calculated values
DFT formation energy: -0.204 eV/atom
Total DFT energy (no corrections): -156.040 eV for the cell shown

Lattice parameters (Å, degrees): 6.831 12.818 6.760 90.00 90.00 90.00
Space group Ibam (No. 72)
One atom of each set of equivalent atoms:
Pm 0.215 0.199 0.000
Ho 0.000 0.500 0.250
Pa 0.000 0.000 0.250
Co 0.209 0.086 0.500